Crystalline Tb5Pm2Ho5 at its relaxed geometry, computed with GGA-PBE.

Cell and atoms, written as CIF:
```
data_Tb5Pm2Ho5
_chemical_formula_sum 'Tb5 Pm2 Ho5'
_cell_length_a 6.1604
_cell_length_b 6.1636
_cell_length_c 11.7981
_cell_angle_alpha 79.96
_cell_angle_beta 85.05
_cell_angle_gamma 60.03
_symmetry_space_group_name_H-M 'P -1'
_symmetry_Int_Tables_number 2
loop_
_symmetry_equiv_pos_as_xyz
'x,y,z'
'-x,-y,-z'
loop_
_atom_site_label
_atom_site_fract_x
_atom_site_fract_y
_atom_site_fract_z
Tb1 0.0000 0.0000 0.0000
Tb2 0.9999 0.2505 0.2495
Tb3 0.3332 0.8325 0.5003
Pm1 0.3333 0.0835 0.7503
Ho1 0.0000 0.5000 0.5000
Ho2 0.3331 0.3346 0.9997
Ho3 0.3334 0.5831 0.2497
```



# Tb2Pm3Ho6 (GGA-PBE, optimized geometry)
data_Tb2Pm3Ho6
_chemical_formula_sum 'Tb4 Pm6 Ho12'
_cell_length_a 4.7417
_cell_length_b 4.7417
_cell_length_c 33.2042
_cell_angle_alpha 90.00
_cell_angle_beta 90.00
_cell_angle_gamma 90.00
_symmetry_space_group_name_H-M 'I 4/m m m'
_symmetry_Int_Tables_number 139
_symmetry_space_group_name_Hall '-I 4 2'
loop_
_atom_site_label
_atom_site_fract_x
_atom_site_fract_y
_atom_site_fract_z
Tb1 0.0000 0.0000 0.0461
Pm1 0.0000 0.0000 0.2972
Pm2 0.0000 0.0000 0.5000
Ho1 0.0000 0.0000 0.1936
Ho2 0.0000 0.5000 0.1207
# - Offset from the most stable computed form: 0.075 eV per atom



# TbPm3Ho6 (GGA-PBE, optimized geometry)
data_TbPm3Ho6
_chemical_formula_sum 'Tb1 Pm3 Ho6'
_cell_length_a 6.1696
_cell_length_b 6.1736
_cell_length_c 9.4222
_cell_angle_alpha 70.88
_cell_angle_beta 70.99
_cell_angle_gamma 80.41
_symmetry_space_group_name_H-M 'P -1'
_symmetry_Int_Tables_number 2
loop_
_symmetry_equiv_pos_as_xyz
'x,y,z'
'-x,-y,-z'
loop_
_atom_site_label
_atom_site_fract_x
_atom_site_fract_y
_atom_site_fract_z
Tb1 0.0000 0.0000 0.0000
Pm1 0.5004 0.1008 0.2979
Pm2 0.5000 0.5000 0.5000
Ho1 0.0005 0.4020 0.1991
Ho2 0.0008 0.8005 0.3993
Ho3 0.4995 0.2998 0.9014
# - Offset from the most stable computed form: 0.000 eV per atom



# TbPmHo (GGA-PBE, optimized geometry)
data_TbPmHo
_chemical_formula_sum 'Tb2 Pm2 Ho2'
_cell_length_a 3.5783
_cell_length_b 3.5783
_cell_length_c 15.1833
_cell_angle_alpha 90.00
_cell_angle_beta 90.00
_cell_angle_gamma 90.00
_symmetry_space_group_name_H-M 'I 4 m m'
_symmetry_Int_Tables_number 107
_symmetry_space_group_name_Hall 'I 4 -2'
loop_
_atom_site_label
_atom_site_fract_x
_atom_site_fract_y
_atom_site_fract_z
Tb1 0.0000 0.0000 0.0000
Pm1 0.0000 0.0000 0.6688
Ho1 0.0000 0.0000 0.3361
# - Offset from the most stable computed form: 0.006 eV per atom



# Tb3PmHo6 (GGA-PBE, optimized geometry)
data_Tb3PmHo6
_chemical_formula_sum 'Tb9 Pm3 Ho18'
_cell_length_a 9.8118
_cell_length_b 9.8118
_cell_length_c 11.6200
_cell_angle_alpha 90.00
_cell_angle_beta 90.00
_cell_angle_gamma 120.00
_symmetry_space_group_name_H-M 'R 3'
_symmetry_Int_Tables_number 146
_symmetry_space_group_name_Hall 'R 3'
loop_
_atom_site_label
_atom_site_fract_x
_atom_site_fract_y
_atom_site_fract_z
Tb1 0.0000 0.0000 0.0000
Tb2 0.0000 0.0000 0.2460
Tb3 0.0000 0.0000 0.4966
Pm1 0.0000 0.0000 0.7452
Ho1 0.0034 0.3349 0.4079
Ho2 0.0049 0.6686 0.9078
# - Offset from the most stable computed form: 0.136 eV per atom



# Tb2Pm4Ho (GGA-PBE, optimized geometry)
data_Tb2Pm4Ho
_chemical_formula_sum 'Tb4 Pm8 Ho2'
_cell_length_a 6.1189
_cell_length_b 13.0663
_cell_length_c 5.9838
_cell_angle_alpha 90.00
_cell_angle_beta 90.00
_cell_angle_gamma 90.00
_symmetry_space_group_name_H-M 'C m m m'
_symmetry_Int_Tables_number 65
_symmetry_space_group_name_Hall '-C 2 2'
loop_
_atom_site_label
_atom_site_fract_x
_atom_site_fract_y
_atom_site_fract_z
Tb1 0.0000 0.1099 0.0000
Pm1 0.0000 0.1905 0.5000
Pm2 0.0000 0.3610 0.0000
Ho1 0.0000 0.5000 0.5000
# - Offset from the most stable computed form: 0.307 eV per atom



Crystalline Tb2Pm12Ho at its relaxed geometry, computed with GGA-PBE.

Cell and atoms, written as CIF:
```
data_Tb2Pm12Ho
_chemical_formula_sum 'Tb8 Pm48 Ho4'
_cell_length_a 7.1418
_cell_length_b 11.5692
_cell_length_c 24.9158
_cell_angle_alpha 90.00
_cell_angle_beta 96.79
_cell_angle_gamma 90.00
_symmetry_space_group_name_H-M 'C 1 2/m 1'
_symmetry_Int_Tables_number 12
loop_
_symmetry_equiv_pos_as_xyz
'x,y,z'
'-x,-y,-z'
'-x,y,-z'
'x,-y,z'
'x+1/2,y+1/2,z'
'-x+1/2,-y+1/2,-z'
'-x+1/2,y+1/2,-z'
'x+1/2,-y+1/2,z'
loop_
_atom_site_label
_atom_site_fract_x
_atom_site_fract_y
_atom_site_fract_z
Tb1 0.0310 0.0000 0.2938
Tb2 0.0486 0.5000 0.2743
Pm1 0.0215 0.2200 0.9304
Pm2 0.1026 0.2365 0.4434
Pm3 0.1358 0.5000 0.1186
Pm4 0.1387 0.5000 0.5752
Pm5 0.1694 0.0000 0.5741
Pm6 0.1750 0.0000 0.1623
Pm7 0.1905 0.2182 0.8016
Pm8 0.1948 0.2659 0.6733
Ho1 0.2442 0.5000 0.9842
```



# Tb6PmHo4 (GGA-PBE, optimized geometry)
data_Tb6PmHo4
_chemical_formula_sum 'Tb24 Pm4 Ho16'
_cell_length_a 5.7354
_cell_length_b 9.6042
_cell_length_c 25.6224
_cell_angle_alpha 90.00
_cell_angle_beta 90.00
_cell_angle_gamma 90.00
_symmetry_space_group_name_H-M 'C m c m'
_symmetry_Int_Tables_number 63
_symmetry_space_group_name_Hall '-C 2c 2'
loop_
_atom_site_label
_atom_site_fract_x
_atom_site_fract_y
_atom_site_fract_z
Tb1 0.0000 0.0000 0.0000
Tb2 0.0000 0.0339 0.2500
Tb3 0.0000 0.3012 0.6021
Tb4 0.0000 0.3685 0.1809
Pm1 0.0000 0.3012 0.7500
Ho1 0.0000 0.0399 0.1215
Ho2 0.0000 0.3474 0.0426
# - Offset from the most stable computed form: 0.000 eV per atom



Crystalline Tb6PmHo8 at its relaxed geometry, computed with GGA-PBE.

Cell and atoms, written as CIF:
```
data_Tb6PmHo8
_chemical_formula_sum 'Tb18 Pm3 Ho24'
_cell_length_a 9.0178
_cell_length_b 9.0178
_cell_length_c 20.5319
_cell_angle_alpha 90.00
_cell_angle_beta 90.00
_cell_angle_gamma 120.00
_symmetry_space_group_name_H-M 'R -3'
_symmetry_Int_Tables_number 148
_symmetry_space_group_name_Hall '-R 3'
loop_
_atom_site_label
_atom_site_fract_x
_atom_site_fract_y
_atom_site_fract_z
Tb1 0.0626 0.2464 0.2079
Pm1 0.0000 0.0000 0.5000
Ho1 0.0000 0.0000 0.0764
Ho2 0.0809 0.5519 0.3084
```



# Tb3Pm2Ho4 (GGA-PBE, optimized geometry)
data_Tb3Pm2Ho4
_chemical_formula_sum 'Tb12 Pm8 Ho16'
_cell_length_a 16.3116
_cell_length_b 11.5868
_cell_length_c 6.1250
_cell_angle_alpha 90.00
_cell_angle_beta 96.12
_cell_angle_gamma 90.00
_symmetry_space_group_name_H-M 'C 1 2/c 1'
_symmetry_Int_Tables_number 15
loop_
_symmetry_equiv_pos_as_xyz
'x,y,z'
'-x,-y,-z'
'-x,y,-z+1/2'
'x,-y,z+1/2'
'x+1/2,y+1/2,z'
'-x+1/2,-y+1/2,-z'
'-x+1/2,y+1/2,-z+1/2'
'x+1/2,-y+1/2,z+1/2'
loop_
_atom_site_label
_atom_site_fract_x
_atom_site_fract_y
_atom_site_fract_z
Tb1 0.0000 0.0975 0.2500
Tb2 0.1648 0.4025 0.0966
Pm1 0.1228 0.1432 0.8225
Ho1 0.0461 0.3596 0.5157
Ho2 0.2160 0.1387 0.3486
# - Offset from the most stable computed form: 0.079 eV per atom



# Tb2Pm3Ho3 (GGA-PBE, optimized geometry)
data_Tb2Pm3Ho3
_chemical_formula_sum 'Tb4 Pm6 Ho6'
_cell_length_a 5.7243
_cell_length_b 14.5843
_cell_length_c 6.2987
_cell_angle_alpha 90.00
_cell_angle_beta 90.05
_cell_angle_gamma 90.00
_symmetry_space_group_name_H-M 'P 1 21/m 1'
_symmetry_Int_Tables_number 11
loop_
_symmetry_equiv_pos_as_xyz
'x,y,z'
'-x,-y,-z'
'-x,y+1/2,-z'
'x,-y+1/2,z'
loop_
_atom_site_label
_atom_site_fract_x
_atom_site_fract_y
_atom_site_fract_z
Tb1 0.2502 0.1244 0.1672
Pm1 0.2497 0.2500 0.6647
Pm2 0.2503 0.6240 0.1674
Ho1 0.2499 0.5008 0.6662
Ho2 0.2499 0.7500 0.6684
# - Offset from the most stable computed form: 0.002 eV per atom



Crystalline TbPm4Ho10 at its relaxed geometry, computed with GGA-PBE.

Cell and atoms, written as CIF:
```
data_TbPm4Ho10
_chemical_formula_sum 'Tb2 Pm8 Ho20'
_cell_length_a 12.1859
_cell_length_b 12.1859
_cell_length_c 7.6974
_cell_angle_alpha 90.00
_cell_angle_beta 90.00
_cell_angle_gamma 90.00
_symmetry_space_group_name_H-M 'I 4/m'
_symmetry_Int_Tables_number 87
_symmetry_space_group_name_Hall '-I 4'
loop_
_atom_site_label
_atom_site_fract_x
_atom_site_fract_y
_atom_site_fract_z
Tb1 0.0000 0.0000 0.0000
Pm1 0.1005 0.2993 0.5000
Ho1 0.0000 0.5000 0.2500
Ho2 0.0990 0.8009 0.2486
```



Number 1: energy relative to the elements 16 meV/atom, total moment 0.0 Bohr magnetons per cell, volume 31.85 A^3/atom. Number 2: energy relative to the elements 274 meV/atom, total moment 0.0 Bohr magnetons per cell, volume 33.93 A^3/atom. Number 3: energy relative to the elements 17 meV/atom, total moment 0.0 Bohr magnetons per cell, volume 31.99 A^3/atom. Number 4: energy relative to the elements 19 meV/atom, total moment 0.0 Bohr magnetons per cell, volume 32.40 A^3/atom. Number 5: energy relative to the elements 284 meV/atom, total moment 0.0 Bohr magnetons per cell, volume 32.29 A^3/atom. Number 6: energy relative to the elements 467 meV/atom, total moment 0.0 Bohr magnetons per cell, volume 34.17 A^3/atom. Number 7: energy relative to the elements 106 meV/atom, total moment 0.0 Bohr magnetons per cell, volume 34.07 A^3/atom. Number 8: energy relative to the elements 125 meV/atom, total moment 0.0 Bohr magnetons per cell, volume 32.08 A^3/atom. Number 9: energy relative to the elements 130 meV/atom, total moment 0.0 Bohr magnetons per cell, volume 32.13 A^3/atom. Number 10: energy relative to the elements 95 meV/atom, total moment 0.0 Bohr magnetons per cell, volume 31.97 A^3/atom. Number 11: energy relative to the elements 21 meV/atom, total moment 0.0 Bohr magnetons per cell, volume 32.87 A^3/atom. Number 12: energy relative to the elements 756 meV/atom, total moment 0.0 Bohr magnetons per cell, volume 38.10 A^3/atom.